{"formula": "VIF2", "functional": "GGA+U", "state": "optimized geometry", "de_polymorph_mev_per_atom": 181, "magmom_total_mub_per_cell": 3.926, "dft_energy_ev_per_cell": -38.9, "cell": [[-3.1400, 3.1400, 4.5679], [3.1400, -3.1400, 4.5679], [3.1400, 3.1400, -4.5679]], "species": ["V", "V", "I", "I", "F", "F", "F", "F"], "fractional_positions": [[0.3750, 0.6250, 0.7500], [0.6250, 0.3750, 0.2500], [0.1250, 0.8750, 0.2500], [0.8750, 0.1250, 0.7500], [0.0000, 0.5000, 0.5000], [0.5000, 0.0000, 0.0000], [0.5000, 0.5000, 0.0000], [0.5000, 0.5000, 0.5000]]}